Entry 1:
A plane-wave DFT calculation with PBE-GGA was carried out for Dy2Ho8Sc3 after structural relaxation.

Lattice parameters (Å, degrees): 8.466 8.466 6.528 97.29 97.29 61.82
Positions (direct):
Dy (0.201, 0.201, 0.285)
Dy (0.799, 0.799, 0.715)
Ho (0.194, 0.194, 0.791)
Ho (0.207, 0.573, 0.573)
Ho (0.413, 0.413, 0.115)
Ho (0.427, 0.793, 0.427)
Ho (0.573, 0.207, 0.573)
Ho (0.587, 0.587, 0.885)
Ho (0.793, 0.427, 0.427)
Ho (0.806, 0.806, 0.209)
Sc (0.000, 0.000, 0.500)
Sc (0.164, 0.836, 0.000)
Sc (0.836, 0.164, 0.000)

**V**: 407.8 Å³/cell
**Formation energy**: 0.26 eV/atom
**DOS at the Fermi energy**: 1.543 states/eV/atom
**M_tot**: 0.000 μB per atom
**Uncorrected energy**: -61.5 eV for the cell shown
**Offset from the most stable computed form**: 0.217 eV/atom



Entry 2:
A plane-wave DFT calculation with PBE-GGA was carried out for Dy2Ho3Sc7 after structural relaxation.

Lattice parameters (Å, degrees): 5.444 3.414 17.681 90.00 92.94 90.00
Positions (direct):
Dy (0.210, 0.000, 0.290)
Dy (0.790, 0.000, 0.710)
Ho (0.000, 0.000, 0.000)
Ho (0.276, 0.500, 0.630)
Ho (0.724, 0.500, 0.370)
Sc (0.196, 0.500, 0.141)
Sc (0.243, 0.000, 0.463)
Sc (0.303, 0.000, 0.828)
Sc (0.500, 0.500, 0.000)
Sc (0.697, 0.000, 0.172)
Sc (0.757, 0.000, 0.537)
Sc (0.804, 0.500, 0.859)

**V**: 328.1 Å³/cell
**Formation energy**: 0.10 eV/atom
**DOS at the Fermi energy**: 1.459 states/eV/atom
**M_tot**: 0.000 μB per atom
**Uncorrected energy**: -66.0 eV for the cell shown
**Offset from the most stable computed form**: 0.000 eV/atom



Entry 3:
A plane-wave DFT calculation with PBE-GGA was carried out for DyHo7Sc3 after structural relaxation.

Lattice parameters (Å, degrees): 8.157 8.157 8.157 139.34 99.11 94.77
Positions (direct):
Dy (0.000, 0.000, 0.000)
Ho (0.000, 0.500, 0.500)
Ho (0.104, 0.295, 0.809)
Ho (0.304, 0.000, 0.304)
Ho (0.486, 0.295, 0.191)
Ho (0.514, 0.705, 0.809)
Ho (0.696, 0.000, 0.696)
Ho (0.896, 0.705, 0.191)
Sc (0.288, 0.788, 0.500)
Sc (0.500, 0.500, 0.000)
Sc (0.712, 0.212, 0.500)

**V**: 331.3 Å³/cell
**Formation energy**: 0.27 eV/atom
**DOS at the Fermi energy**: 1.496 states/eV/atom
**M_tot**: 0.033 μB per atom
**Uncorrected energy**: -52.6 eV for the cell shown
**Offset from the most stable computed form**: 0.117 eV/atom



Entry 4:
A plane-wave DFT calculation with PBE-GGA was carried out for Dy2HoSc5 after structural relaxation.

Lattice parameters (Å, degrees): 7.980 6.850 6.340 74.35 55.75 49.91
Positions (direct):
Dy (0.245, 0.755, 0.245)
Dy (0.755, 0.245, 0.755)
Ho (0.330, 0.330, 0.670)
Sc (0.247, 0.247, 0.253)
Sc (0.337, 0.832, 0.663)
Sc (0.747, 0.747, 0.753)
Sc (0.829, 0.829, 0.171)
Sc (0.832, 0.337, 0.168)

**V**: 216.8 Å³/cell
**Formation energy**: 0.02 eV/atom
**DOS at the Fermi energy**: 1.922 states/eV/atom
**M_tot**: 0.002 μB per atom
**Uncorrected energy**: -45.3 eV for the cell shown
**Offset from the most stable computed form**: 0.000 eV/atom